No. 1
Entry from Alexandria via LeMat-Bulk: an optimized crystal structure of SiBF2 (PBE).

Summary:
Spin magnetization, μB/atom: 0.000
Density, g/cm³: 2.6
Uncorrected formation energy, eV/atom: 0.26
ΔE to the lowest computed polymorph, meV per atom: 990
Final energy, eV/atom: -3.70

a = 4.0861 Å, b = 4.0861 Å, c = 4.0861 Å
α = 60.00°, β = 60.00°, γ = 60.00°
Atoms (fractional coordinates):
Si 0.0000 0.0000 0.0000
B 0.5000 0.5000 0.5000
F 0.2500 0.2500 0.2500
F 0.7500 0.7500 0.7500



No. 2
Entry from Alexandria via LeMat-Bulk: an optimized crystal structure of SiBF2 (PBE).

Summary:
Spin magnetization, μB/atom: 0.091
Density, g/cm³: 2.7
Uncorrected formation energy, eV/atom: -0.47
ΔE to the lowest computed polymorph, meV per atom: 259
Final energy, eV/atom: -4.43

a = 8.2789 Å, b = 8.2789 Å, c = 8.2789 Å
α = 17.96°, β = 17.96°, γ = 17.96°
Atoms (fractional coordinates):
Si 0.0000 0.0000 0.0000
B 0.5000 0.5000 0.5000
F 0.0682 0.0682 0.0682
F 0.9318 0.9318 0.9318



No. 3
Entry from Alexandria via LeMat-Bulk: an optimized crystal structure of Si2BF (PBE).

Summary:
Spin magnetization, μB/atom: 0.000
Density, g/cm³: 3.3
Uncorrected formation energy, eV/atom: 0.13
ΔE to the lowest computed polymorph, meV per atom: 179
Final energy, eV/atom: -4.72

a = 3.9301 Å, b = 3.9301 Å, c = 3.9301 Å
α = 60.00°, β = 60.00°, γ = 60.00°
Atoms (fractional coordinates):
Si 0.2500 0.2500 0.2500
Si 0.7500 0.7500 0.7500
B 0.0000 0.0000 0.0000
F 0.5000 0.5000 0.5000



No. 4
Entry from Alexandria via LeMat-Bulk: an optimized crystal structure of SiBF2 (PBE).

Summary:
Spin magnetization, μB/atom: 0.000
Density, g/cm³: 2.4
Uncorrected formation energy, eV/atom: -0.02
ΔE to the lowest computed polymorph, meV per atom: 717
Final energy, eV/atom: -3.98

a = 5.3086 Å, b = 5.3086 Å, c = 5.3086 Å
α = 60.00°, β = 60.00°, γ = 60.00°
Atoms (fractional coordinates):
Si 0.1250 0.1250 0.1250
Si 0.8750 0.8750 0.8750
B 0.3750 0.3750 0.3750
B 0.6250 0.6250 0.6250
F 0.0000 0.5000 0.5000
F 0.5000 0.0000 0.5000
F 0.5000 0.5000 0.0000
F 0.5000 0.5000 0.5000



No. 5
Entry from Alexandria via LeMat-Bulk: an optimized crystal structure of SiBF2 (PBE).

Summary:
Spin magnetization, μB/atom: 0.251
Density, g/cm³: 2.1
Uncorrected formation energy, eV/atom: -0.73
ΔE to the lowest computed polymorph, meV per atom: 0
Final energy, eV/atom: -4.69

a = 10.4776 Å, b = 10.4776 Å, c = 10.4776 Å
α = 14.31°, β = 14.31°, γ = 14.31°
Atoms (fractional coordinates):
Si 0.0000 0.0000 0.0000
B 0.5000 0.5000 0.5000
F 0.4568 0.4568 0.4568
F 0.5432 0.5432 0.5432



No. 6
Entry from Alexandria via LeMat-Bulk: an optimized crystal structure of Si2BF (PBE).

Summary:
Spin magnetization, μB/atom: 0.000
Density, g/cm³: 2.5
Uncorrected formation energy, eV/atom: -0.05
ΔE to the lowest computed polymorph, meV per atom: 0
Final energy, eV/atom: -4.90

a = 5.9386 Å, b = 5.9386 Å, c = 5.9386 Å
α = 131.28°, β = 131.28°, γ = 71.36°
Atoms (fractional coordinates):
Si 0.0751 0.6250 0.9501
Si 0.3750 0.3251 0.4501
Si 0.6749 0.1250 0.0499
Si 0.8750 0.9249 0.5499
B 0.0000 0.0000 0.0000
B 0.7500 0.2500 0.5000
F 0.2500 0.7500 0.5000
F 0.5000 0.5000 0.0000



No. 7
Entry from Alexandria via LeMat-Bulk: an optimized crystal structure of SiB2F2 (PBE).

Summary:
Spin magnetization, μB/atom: 0.000
Density, g/cm³: 2.7
Uncorrected formation energy, eV/atom: -0.17
Final energy, eV/atom: -4.68

a = 6.5355 Å, b = 6.5355 Å, c = 2.4916 Å
α = 90.00°, β = 90.00°, γ = 90.00°
Atoms (fractional coordinates):
Si 0.0000 0.0000 0.0000
Si 0.5000 0.5000 0.0000
B 0.2206 0.2794 0.0000
B 0.2794 0.7794 0.0000
B 0.7206 0.2206 0.0000
B 0.7794 0.7206 0.0000
F 0.1191 0.3809 0.5000
F 0.3809 0.8809 0.5000
F 0.6191 0.1191 0.5000
F 0.8809 0.6191 0.5000



No. 8
Entry from Alexandria via LeMat-Bulk: an optimized crystal structure of SrSi2BF (PBE).

Summary:
Spin magnetization, μB/atom: 0.000
Density, g/cm³: 3.1
Uncorrected formation energy, eV/atom: -0.53
Final energy, eV/atom: -4.74

a = 3.8954 Å, b = 3.8954 Å, c = 6.0805 Å
α = 90.00°, β = 90.00°, γ = 90.00°
Atoms (fractional coordinates):
Sr 0.0000 0.0000 0.0000
Si 0.0000 0.5000 0.5000
Si 0.5000 0.0000 0.5000
B 0.0000 0.0000 0.5000
F 0.5000 0.5000 0.0000



No. 9
Entry from Alexandria via LeMat-Bulk: an optimized crystal structure of ZnSi2BF (PBE).

Summary:
Spin magnetization, μB/atom: 0.000
Density, g/cm³: 3.1
Uncorrected formation energy, eV/atom: 1.01
ΔE to the lowest computed polymorph, meV per atom: 76
Final energy, eV/atom: -3.13

a = 4.2789 Å, b = 4.2789 Å, c = 4.3724 Å
α = 90.00°, β = 90.00°, γ = 90.00°
Atoms (fractional coordinates):
Zn 0.0000 0.0000 0.0000
Si 0.0000 0.5000 0.5000
Si 0.5000 0.0000 0.5000
B 0.5000 0.5000 0.0000
F 0.0000 0.0000 0.5000



No. 10
Entry from Alexandria via LeMat-Bulk: an optimized crystal structure of Zn2SiBF (PBE).

Summary:
Spin magnetization, μB/atom: 0.000
Density, g/cm³: 3.7
Uncorrected formation energy, eV/atom: 0.49
Final energy, eV/atom: -2.81

a = 4.7661 Å, b = 4.7661 Å, c = 3.7064 Å
α = 90.00°, β = 90.00°, γ = 90.00°
Atoms (fractional coordinates):
Zn 0.0000 0.5000 0.0000
Zn 0.5000 0.0000 0.0000
Si 0.0000 0.0000 0.0000
B 0.5000 0.5000 0.5000
F 0.0000 0.0000 0.5000



No. 11
Entry from Alexandria via LeMat-Bulk: an optimized crystal structure of ZnSi2BF (PBE).

Summary:
Spin magnetization, μB/atom: 0.000
Density, g/cm³: 2.9
Uncorrected formation energy, eV/atom: 0.93
ΔE to the lowest computed polymorph, meV per atom: 0
Final energy, eV/atom: -3.20

a = 4.7311 Å, b = 4.7311 Å, c = 3.8234 Å
α = 90.00°, β = 90.00°, γ = 90.00°
Atoms (fractional coordinates):
Zn 0.0000 0.0000 0.0000
Si 0.0000 0.5000 0.0000
Si 0.5000 0.0000 0.0000
B 0.5000 0.5000 0.5000
F 0.0000 0.0000 0.5000



No. 12
Entry from Alexandria via LeMat-Bulk: an optimized crystal structure of Sm2BF (PBE).

Summary:
Spin magnetization, μB/atom: 0.000
Density, g/cm³: 7.1
Uncorrected formation energy, eV/atom: -1.29
Final energy, eV/atom: -5.79

a = 6.4410 Å, b = 6.4410 Å, c = 6.4410 Å
α = 34.64°, β = 34.64°, γ = 34.64°
Atoms (fractional coordinates):
Sm 0.2453 0.2453 0.2453
Sm 0.7547 0.7547 0.7547
B 0.5000 0.5000 0.5000
F 0.0000 0.0000 0.0000